# 1
TbZnAs PBE optimized geometry; calculated density = 6.65 g/cm3; uncorrected energy = -4.122 eV per atom; crystal system = trigonal; SG = R-3m (166)
1.0
4.7302 0.0000 0.0000
2.3651 4.0965 0.0000
2.3651 1.3655 7.7154
Zn As Tb
2 2 2
Cartesian
2.3651 1.3655 0.1466 Zn
7.0954 4.0965 7.5688 Zn
7.0954 4.0965 5.0299 As
2.3651 1.3655 2.6855 As
2.3651 1.3655 5.6044 Tb
7.0954 4.0965 2.1110 Tb


# 2
Cs2TiHgCl6 PBE optimized geometry; calculated density = 2.78 g/cm3; uncorrected energy = -3.713 eV per atom; crystal system = trigonal; SG = R-3m (166); formation energy without anion corrections = -1.61 eV per atom
1.0
-3.2262 6.0532 2.6233
-0.3700 1.1160 7.2490
15.1007 11.3116 2.7491
Cs Hg Cl Ti
4 2 12 2
Cartesian
11.4459 15.4028 9.3724 Cs
8.2194 7.5450 2.9778 Cs
3.2851 10.9358 9.6437 Cs
0.0587 3.0780 3.2490 Cs
1.5891 6.9616 6.4491 Hg
9.9155 11.5192 6.1724 Hg
-1.6493 6.1290 4.3876 Cl
7.8755 8.2263 6.5752 Cl
6.5732 10.4773 4.4662 Cl
-0.0949 3.4421 6.9050 Cl
4.9314 8.0035 8.1553 Cl
13.1539 12.3518 8.2338 Cl
-1.8506 6.7363 8.3326 Cl
11.5995 15.0387 5.7165 Cl
6.4045 10.9861 7.7713 Cl
3.6291 10.2545 6.0462 Cl
13.3552 11.7445 4.2888 Cl
5.1001 7.4947 4.8502 Cl
5.7523 9.2404 6.3107 Ti
0.0000 0.0000 0.0000 Ti


# 3
AcPa2Pt PBE optimized geometry; calculated density = 12.78 g/cm3; uncorrected energy = -7.207 eV per atom; crystal system = trigonal; SG = R-3m (166)
1.0
3.4999 0.0000 0.0000
1.7500 3.0310 0.0000
1.7500 1.0103 10.8252
Pa Pt Ac
2 1 1
Cartesian
1.7500 1.0103 7.4516 Pa
5.2499 3.0310 3.3736 Pa
3.4999 2.0207 5.4126 Pt
0.0000 0.0000 0.0000 Ac


# 4
Nd2GeO5 PBE optimized geometry; calculated density = 5.89 g/cm3; uncorrected energy = -7.497 eV per atom; crystal system = monoclinic; SG = Cm (8); formation energy without anion corrections = -2.63 eV per atom
1.0
5.8522 -0.0241 -1.3777
-0.0261 5.8517 -1.3796
-3.9270 -3.9269 5.4870
O Nd Ge
5 2 1
Cartesian
-3.0138 -3.0136 4.4021 O
0.9412 0.9421 1.5621 O
1.3690 4.4789 -1.2082 O
4.4788 1.3705 -1.2071 O
-1.0026 -1.0025 1.5812 O
3.0400 0.4127 0.4695 Nd
0.4113 3.0403 0.4687 Nd
-0.0742 -0.0741 0.2883 Ge


# 5
Dy2ZnGa2Ir5 PBE optimized geometry; calculated density = 14.63 g/cm3; uncorrected energy = -6.637 eV per atom; crystal system = tetragonal; SG = P4/mbm (127)
1.0
3.6031 0.0000 0.0000
0.0000 9.6909 0.0000
0.0000 0.0000 9.6909
Dy Zn Ir Ga
4 2 10 4
Cartesian
0.0000 8.0069 6.5296 Dy
0.0000 6.5296 1.6841 Dy
0.0000 1.6841 3.1614 Dy
0.0000 3.1614 8.0069 Dy
0.0000 4.8455 4.8455 Zn
0.0000 0.0000 0.0000 Zn
1.8016 0.0000 4.8455 Ir
1.8016 4.2285 2.8889 Ir
1.8016 4.8455 0.0000 Ir
1.8016 2.8889 5.4625 Ir
1.8016 6.8020 4.2285 Ir
1.8016 7.7344 9.0740 Ir
1.8016 0.6170 7.7344 Ir
1.8016 9.0740 1.9566 Ir
1.8016 5.4625 6.8020 Ir
1.8016 1.9566 0.6170 Ir
0.0000 8.4655 3.6200 Ga
0.0000 1.2254 6.0709 Ga
0.0000 6.0709 8.4655 Ga
0.0000 3.6200 1.2254 Ga


# 6
Li2TiW4 PBE optimized geometry; calculated density = 10.38 g/cm3; uncorrected energy = -7.022 eV per atom; crystal system = tetragonal; SG = I4/mmm (139)
1.0
4.4552 0.0000 0.0000
0.0000 4.4552 0.0000
2.2276 2.2276 6.4267
W Ti Li
4 1 2
Cartesian
2.2276 2.2276 3.9079 W
4.4552 4.4552 2.5187 W
2.2276 0.0000 0.0000 W
0.0000 2.2276 0.0000 W
0.0000 0.0000 0.0000 Ti
4.4552 4.4552 4.9299 Li
2.2276 2.2276 1.4968 Li


# 7
SiIrN PBE optimized geometry; calculated density = 11.25 g/cm3; uncorrected energy = -7.933 eV per atom; crystal system = orthorhombic; SG = Imm2 (44); formation energy without anion corrections = -0.40 eV per atom
1.0
10.2605 0.0000 0.0000
0.0000 2.7860 0.0000
0.0000 0.0000 4.8395
N Ir Si
4 4 4
Cartesian
8.0700 1.3930 2.6510 N
7.3208 0.0000 0.2312 N
2.9397 0.0000 0.2312 N
2.1905 1.3930 2.6510 N
0.0000 0.0000 0.2836 Ir
5.1302 1.3930 2.7033 Ir
0.0000 1.3930 2.7973 Ir
5.1302 0.0000 0.3775 Ir
1.9532 1.3930 0.8735 Si
8.3073 1.3930 0.8735 Si
7.0834 0.0000 3.2933 Si
3.1771 0.0000 3.2933 Si


# 8
CsNaAcBr5 PBE optimized geometry; calculated density = 3.47 g/cm3; uncorrected energy = -3.679 eV per atom; crystal system = monoclinic; SG = C2/c (15); formation energy without anion corrections = -1.85 eV per atom
1.0
-7.5149 3.9935 -1.4046
0.0656 -3.0774 8.0573
7.4835 8.7445 0.5394
Br Na Cs Ac
10 2 2 2
Cartesian
-2.3343 4.7856 4.2752 Br
1.3591 -0.3528 7.4715 Br
-1.3249 10.0134 -0.2795 Br
-2.2262 1.2984 1.5826 Br
2.2473 3.6318 7.1783 Br
2.3685 4.8750 2.9169 Br
-6.0565 3.5149 1.2143 Br
2.2604 8.3622 5.6095 Br
6.0907 6.1457 5.9777 Br
-2.2131 6.0288 0.0137 Br
3.3078 5.6921 5.5030 Na
-3.2735 3.9685 1.6890 Na
0.6831 8.1403 2.2270 Cs
-0.6489 1.5203 4.9651 Cs
0.0000 0.0000 0.0000 Ac
3.7417 4.3722 0.2697 Ac


- Look up the uncorrected energy of the fourth one.
  -7.497 eV per atom


Repeat the eighth record exactly.
CsNaAcBr5 PBE optimized geometry; calculated density = 3.47 g/cm3; uncorrected energy = -3.679 eV per atom; crystal system = monoclinic; SG = C2/c (15); formation energy without anion corrections = -1.85 eV per atom
1.0
-7.5149 3.9935 -1.4046
0.0656 -3.0774 8.0573
7.4835 8.7445 0.5394
Br Na Cs Ac
10 2 2 2
Cartesian
-2.3343 4.7856 4.2752 Br
1.3591 -0.3528 7.4715 Br
-1.3249 10.0134 -0.2795 Br
-2.2262 1.2984 1.5826 Br
2.2473 3.6318 7.1783 Br
2.3685 4.8750 2.9169 Br
-6.0565 3.5149 1.2143 Br
2.2604 8.3622 5.6095 Br
6.0907 6.1457 5.9777 Br
-2.2131 6.0288 0.0137 Br
3.3078 5.6921 5.5030 Na
-3.2735 3.9685 1.6890 Na
0.6831 8.1403 2.2270 Cs
-0.6489 1.5203 4.9651 Cs
0.0000 0.0000 0.0000 Ac
3.7417 4.3722 0.2697 Ac


- Among the records above, which one has the highest uncorrected energy?
  CsNaAcBr5